# 1
NpInAs2: relaxed, PBE.

ΔE_f in eV per atom: 0.02
Electronic total energy in eV per atom: -6.22
ρ in g cm⁻³: 6.40
Excess energy over the best structure of this formula in the dataset in meV/atom: 368
Crystal system: trigonal
D(E_F) in states/eV per cell: 32.8

Structure (CIF):
```
data_NpInAs2
_symmetry_space_group_name_H-M 'R -3 m'
_symmetry_Int_Tables_number 166
_symmetry_space_group_name_Hall '-R 3 2"'
_cell_length_a 4.3568
_cell_length_b 4.3568
_cell_length_c 23.7527
_cell_angle_alpha 90.00
_cell_angle_beta 90.00
_cell_angle_gamma 120.00
loop_
_atom_site_label
_atom_site_fract_x
_atom_site_fract_y
_atom_site_fract_z
_atom_site_occupancy
Np1 0.0000 0.0000 0.0000 1
In1 0.0000 0.0000 0.5000 1
As1 0.0000 0.0000 0.3920 1
```


# 2
NpInAs: relaxed, PBE.

ΔE_f in eV per atom: -0.32
Electronic total energy in eV per atom: -7.09
ρ in g cm⁻³: 9.37
Crystal system: monoclinic
D(E_F) in states/eV per cell: 41.6

Structure (CIF):
```
data_NpInAs
_symmetry_space_group_name_H-M 'C 1 2/m 1'
_symmetry_Int_Tables_number 12
_symmetry_space_group_name_Hall '-C 2y'
_cell_length_a 5.843
_cell_length_b 5.843
_cell_length_c 8.864
_cell_angle_alpha 90.00
_cell_angle_beta 90.09
_cell_angle_gamma 90.00
loop_
_atom_site_label
_atom_site_fract_x
_atom_site_fract_y
_atom_site_fract_z
_atom_site_occupancy
Np1 0.250 0.000 0.175 1
In1 0.250 0.000 0.548 1
As1 0.250 0.000 0.851 1
```


# 3
NpInAs2: relaxed, PBE.

ΔE_f in eV per atom: -0.24
Electronic total energy in eV per atom: -6.49
ρ in g cm⁻³: 8.37
Excess energy over the best structure of this formula in the dataset in meV/atom: 105
Crystal system: trigonal
D(E_F) in states/eV per cell: 30.8

Structure (CIF):
```
data_NpInAs2
_symmetry_space_group_name_H-M 'R 3 m'
_symmetry_Int_Tables_number 160
_symmetry_space_group_name_Hall 'R 3 -2"'
_cell_length_a 4.2250
_cell_length_b 4.2250
_cell_length_c 19.3119
_cell_angle_alpha 90.00
_cell_angle_beta 90.00
_cell_angle_gamma 120.00
loop_
_atom_site_label
_atom_site_fract_x
_atom_site_fract_y
_atom_site_fract_z
_atom_site_occupancy
Np1 0.0000 0.0000 0.0000 1
In1 0.0000 0.0000 0.8278 1
As1 0.0000 0.0000 0.4123 1
As2 0.0000 0.0000 0.5929 1
```